The following is a DFT calculation (PBE-GGA) of a geometry-optimized Ce2GaGe4Ir3 structure.

Output
The space-group type is P-4m2. As for the density of states at the Fermi level: 8.29 states/eV/f.u. The total energy comes out at -66.7 eV/f.u. The energy relative to the elements is -0.6747 eV/atom.

Lattice parameters (Å, degrees): 4.269 4.269 10.289 90.00 90.00 90.00
Site moments in Bohr magnetons follow the coordinates.
Fractional coordinates of all 10 atoms:
Ce1 0.500 0.000 0.245  0.20
Ce2 0.000 0.500 0.755  0.20
Ga1 0.500 0.500 0.500  -0.01
Ge1 0.500 0.500 0.000  0.00
Ge2 0.000 0.000 0.000  0.00
Ge3 0.500 0.000 0.640  0.00
Ge4 0.000 0.500 0.360  0.00
Ir1 0.000 0.000 0.500  -0.02
Ir2 0.500 0.000 0.875  -0.01
Ir3 0.000 0.500 0.125  -0.01